1.
Computed, not measured: crystalline KTcRuO6 at its relaxed geometry at the PBE level of DFT.

Geometry as extended XYZ:
```
9
Lattice="5.320 0.000 0.000 2.660 4.607 0.000 0.000 0.000 5.835" Properties=species:S:1:pos:R:3 pbc="T T T"
K 5.320 0.000 5.834
Tc 5.320 3.071 2.917
Ru 2.660 1.536 2.917
O 6.344 1.823 1.868
O 4.751 4.582 3.966
O 4.295 1.823 3.966
O 6.912 2.808 3.966
O 3.727 2.808 1.868
O 5.888 4.582 1.868
```

## Properties
The total DFT energy (no corrections) comes out at -6.8699 eV per atom. As for the density of states at the Fermi level: 4.8 states/eV per cell.

=====

2.
Computed, not measured: crystalline K2TlZn2 at its relaxed geometry at the PBE level of DFT.

Geometry as extended XYZ:
```
5
Lattice="5.261 0.000 0.000 0.000 5.261 0.000 2.630 2.630 6.682" Properties=species:S:1:pos:R:3 pbc="T T T"
K 5.261 2.630 3.341
K 2.630 5.261 3.341
Tl 0.000 0.000 0.000
Zn 2.630 2.630 1.229
Zn 5.261 5.261 5.452
```

## Properties
The total DFT energy (no corrections) comes out at -1.1446 eV per atom. As for the density of states at the Fermi level: 4.1 states/eV per cell. The value obtained for the distance to the lowest polymorph of the same formula is 204.8 meV per atom. The formation energy comes out at 26.75 kJ per mole of atoms.

=====

3.
Computed, not measured: crystalline NdY3Tm2As6 at its relaxed geometry at the PBE level of DFT.

Geometry as extended XYZ:
```
12
Lattice="7.154 -0.001 0.001 -3.576 6.196 0.001 -1.193 -2.066 6.745" Properties=species:S:1:pos:R:3 pbc="T T T"
Nd 0.000 0.000 0.000
Y -2.403 4.141 3.373
Y 4.788 -0.012 3.373
Y 1.192 2.065 3.373
Tm -0.005 4.134 0.001
Tm 3.583 2.062 0.001
As 3.602 2.020 5.056
As 2.360 4.086 1.682
As -1.217 2.109 1.689
As -0.050 4.129 5.056
As 0.025 0.043 5.064
As 2.435 0.000 1.689
```

## Properties
The total DFT energy (no corrections) comes out at -6.6067 eV per atom. As for the density of states at the Fermi level: 1.9 states/eV per cell. The formation energy comes out at -146.98 kJ per mole of atoms.

=====

4.
Computed, not measured: crystalline Y3TmAl at its relaxed geometry at the PBE level of DFT.

Geometry as extended XYZ:
```
10
Lattice="3.564 0.000 -0.659 -0.372 8.321 -2.021 -0.043 -0.120 9.732" Properties=species:S:1:pos:R:3 pbc="T T T"
Y 1.818 7.618 2.419
Y 0.636 2.430 5.998
Y 1.328 3.206 -0.228
Y 0.527 5.960 5.403
Y 1.170 6.963 -1.087
Y 1.928 4.088 3.015
Tm 2.832 0.400 7.919
Tm -0.006 1.328 2.519
Al -0.238 5.509 1.269
Al 2.692 4.539 7.148
```

## Properties
The total DFT energy (no corrections) comes out at -5.6669 eV per atom. As for the density of states at the Fermi level: 12.7 states/eV per cell. The formation energy comes out at -14.05 kJ per mole of atoms.

=====

5.
Computed, not measured: crystalline CaReN2 at its relaxed geometry at the PBE level of DFT.

Geometry as extended XYZ:
```
4
Lattice="5.720 0.012 0.008 4.851 3.031 0.008 4.851 1.397 2.690" Properties=species:S:1:pos:R:3 pbc="T T T"
Ca 0.000 0.000 0.000
Re 7.711 2.220 1.352
N 11.759 3.385 2.063
N 3.662 1.054 0.642
```

## Properties
The total DFT energy (no corrections) comes out at -8.1674 eV per atom. As for the density of states at the Fermi level: 2.4 states/eV per cell. The value obtained for the distance to the lowest polymorph of the same formula is 250.8 meV per atom.

=====

6.
Computed, not measured: crystalline BeTcIr2 at its relaxed geometry at the PBE level of DFT.

Geometry as extended XYZ:
```
4
Lattice="3.929 0.000 0.000 0.000 2.731 -0.011 0.000 1.387 4.953" Properties=species:S:1:pos:R:3 pbc="T T T"
Be 1.965 3.601 3.638
Ir 0.000 3.606 4.836
Ir 1.965 0.859 1.321
Tc 0.000 2.230 2.561
```

## Properties
The total DFT energy (no corrections) comes out at -8.1152 eV per atom. As for the density of states at the Fermi level: 3.0 states/eV per cell. The formation energy comes out at -15.59 kJ per mole of atoms.

=====

7.
Computed, not measured: crystalline Ho6InOs2 at its relaxed geometry at the PBE level of DFT.

Geometry as extended XYZ:
```
18
Lattice="-4.733 -6.752 1.948 7.675 -2.125 -2.891 1.648 4.801 6.783" Properties=species:S:1:pos:R:3 pbc="T T T"
Ho 4.329 -1.205 4.491
Ho 0.261 -2.870 1.349
Ho 3.051 2.652 4.901
Ho 1.539 -6.728 0.938
Ho 2.970 -4.320 3.085
Ho 1.620 0.244 2.755
Ho 6.423 1.623 4.760
Ho -1.833 -5.698 1.080
Ho 0.581 -2.184 4.845
Ho 4.010 -1.891 0.994
Ho 7.155 -0.988 2.307
Ho -2.565 -3.087 3.532
In 4.662 1.338 1.946
In 0.000 0.000 0.000
Os 1.988 0.038 5.839
Os 2.602 -4.113 0.000
Os -2.072 -1.310 5.863
Os -1.013 -0.641 2.868
```

## Properties
The total DFT energy (no corrections) comes out at -6.1743 eV per atom. As for the density of states at the Fermi level: 17.0 states/eV per cell. The formation energy comes out at -31.13 kJ per mole of atoms.

=====

8.
Computed, not measured: crystalline TiSnSeN2 at its relaxed geometry at the PBE level of DFT.

Geometry as extended XYZ:
```
5
Lattice="3.992 0.000 0.000 0.000 3.992 0.000 0.000 0.000 5.339" Properties=species:S:1:pos:R:3 pbc="T T T"
N 0.000 1.996 0.000
N 1.996 0.000 0.000
Sn 1.996 1.996 2.670
Se 0.000 0.000 2.670
Ti 0.000 0.000 0.000
```

## Properties
The total DFT energy (no corrections) comes out at -6.2877 eV per atom. As for the density of states at the Fermi level: 3.4 states/eV per cell. The value obtained for the distance to the lowest polymorph of the same formula is 0.0 meV per atom.

=====

Among the records above, which one has the highest total DFT energy (no corrections)? K2TlZn2

=====

Number 3 is which compound? NdY3Tm2As6

=====

Which of these has the highest total DFT energy (no corrections)? K2TlZn2